Entry 1:
! Li2PdI6, optimized geometry, DFT PBE; values from VASP
! Symmetry: No. 162
! Uncorrected formation energy, eV per atom: -0.5822
&SYSTEM
  ibrav = 0, nat = 9, ntyp = 3
/
ATOMIC_SPECIES
Li 6.94 Li.upf
Pd 106.42 Pd.upf
I 126.90 I.upf
CELL_PARAMETERS angstrom
7.1090 0.0000 0.0000
-3.5545 6.1565 0.0000
0.0000 0.0000 7.5985
ATOMIC_POSITIONS crystal
Li 0.3333 0.6667 0.0000
Li 0.6667 0.3333 0.0000
Pd 0.0000 0.0000 0.0000
I 0.0000 0.3096 0.2113
I 0.0000 0.6904 0.7887
I 0.3096 0.0000 0.2113
I 0.3096 0.3096 0.7887
I 0.6904 0.0000 0.7887
I 0.6904 0.6904 0.2113


Entry 2:
! ReSe4Cl6, optimized geometry, DFT PBE; values from VASP
! Symmetry: No. 56
! Uncorrected formation energy, eV per atom: -0.3892
&SYSTEM
  ibrav = 0, nat = 44, ntyp = 3
/
ATOMIC_SPECIES
Re 186.21 Re.upf
Se 78.96 Se.upf
Cl 35.45 Cl.upf
CELL_PARAMETERS angstrom
10.8888 0.0000 0.0000
0.0000 11.1716 0.0000
0.0000 0.0000 10.9747
ATOMIC_POSITIONS crystal
Re 0.0000 0.0000 0.0000
Re 0.0000 0.5000 0.5000
Re 0.5000 0.0000 0.5000
Re 0.5000 0.5000 0.0000
Se 0.0863 0.1009 0.4278
Se 0.0863 0.3991 0.9278
Se 0.1109 0.5998 0.9854
Se 0.1109 0.9002 0.4854
Se 0.3891 0.5998 0.4854
Se 0.3891 0.9002 0.9854
Se 0.4137 0.1009 0.9278
Se 0.4137 0.3991 0.4278
Se 0.5863 0.6009 0.5722
Se 0.5863 0.8991 0.0722
Se 0.6109 0.0998 0.0146
Se 0.6109 0.4002 0.5146
Se 0.8891 0.0998 0.5146
Se 0.8891 0.4002 0.0146
Se 0.9137 0.6009 0.0722
Se 0.9137 0.8991 0.5722
Cl 0.0775 0.6636 0.6154
Cl 0.0775 0.8364 0.1154
Cl 0.1239 0.1308 0.1119
Cl 0.1239 0.3692 0.6119
Cl 0.1600 0.5251 0.3546
Cl 0.1600 0.9749 0.8546
Cl 0.3400 0.5251 0.8546
Cl 0.3400 0.9749 0.3546
Cl 0.3761 0.1308 0.6119
Cl 0.3761 0.3692 0.1119
Cl 0.4225 0.6636 0.1154
Cl 0.4225 0.8364 0.6154
Cl 0.5775 0.1636 0.3846
Cl 0.5775 0.3364 0.8846
Cl 0.6239 0.6308 0.8881
Cl 0.6239 0.8692 0.3881
Cl 0.6600 0.0251 0.6454
Cl 0.6600 0.4749 0.1454
Cl 0.8400 0.0251 0.1454
Cl 0.8400 0.4749 0.6454
Cl 0.8761 0.6308 0.3881
Cl 0.8761 0.8692 0.8881
Cl 0.9225 0.1636 0.8846
Cl 0.9225 0.3364 0.3846


Entry 3:
! DyHo2Sc3Sb6, optimized geometry, DFT PBE; values from VASP
! Symmetry: No. 12
! Uncorrected formation energy, eV per atom: -1.0234
&SYSTEM
  ibrav = 0, nat = 12, ntyp = 4
/
ATOMIC_SPECIES
Dy 162.50 Dy.upf
Ho 164.93 Ho.upf
Sc 44.96 Sc.upf
Sb 121.76 Sb.upf
CELL_PARAMETERS angstrom
3.7006 -6.4117 0.0000
3.7006 6.4117 0.0000
-2.4669 0.0000 6.9605
ATOMIC_POSITIONS crystal
Dy 0.0000 0.0000 0.0000
Ho 0.3333 0.6667 0.0000
Ho 0.6667 0.3333 0.0000
Sc 0.1664 0.8336 0.5000
Sc 0.5000 0.5000 0.5000
Sc 0.8336 0.1664 0.5000
Sb 0.0881 0.4221 0.2642
Sb 0.2460 0.2460 0.7360
Sb 0.4221 0.0881 0.2642
Sb 0.5779 0.9119 0.7358
Sb 0.7540 0.7540 0.2640
Sb 0.9119 0.5779 0.7358


Entry 4:
! Nd2DySc3, optimized geometry, DFT PBE; values from VASP
! Symmetry: No. 123
! ΔH_f (0 K), eV per atom: 0.05
! Energy above the most stable polymorph in this dataset, eV per atom: 0.0000
&SYSTEM
  ibrav = 0, nat = 6, ntyp = 3
/
ATOMIC_SPECIES
Nd 144.24 Nd.upf
Dy 162.50 Dy.upf
Sc 44.96 Sc.upf
CELL_PARAMETERS angstrom
3.5559 0.0000 0.0000
0.0000 3.5559 0.0000
0.0000 0.0000 13.7082
ATOMIC_POSITIONS crystal
Nd 0.0000 0.0000 0.1682
Nd 0.0000 0.0000 0.8318
Dy 0.0000 0.0000 0.5000
Sc 0.5000 0.5000 0.0000
Sc 0.5000 0.5000 0.3366
Sc 0.5000 0.5000 0.6634


Entry 5:
! InOs2Se, optimized geometry, DFT PBE; values from VASP
! Symmetry: No. 122
! Uncorrected formation energy, eV per atom: 1.2113
! Energy above the most stable polymorph in this dataset, eV per atom: 0.8903
&SYSTEM
  ibrav = 0, nat = 8, ntyp = 3
/
ATOMIC_SPECIES
In 114.82 In.upf
Os 190.23 Os.upf
Se 78.96 Se.upf
CELL_PARAMETERS angstrom
-3.0342 3.0342 5.0631
3.0342 -3.0342 5.0631
3.0342 3.0342 -5.0631
ATOMIC_POSITIONS crystal
In 0.0000 0.0000 0.0000
In 0.7500 0.2500 0.5000
Os 0.1703 0.6250 0.0453
Os 0.3750 0.4203 0.5453
Os 0.5797 0.1250 0.9547
Os 0.8750 0.8297 0.4547
Se 0.2500 0.7500 0.5000
Se 0.5000 0.5000 0.0000


Entry 6:
! CeHoPd2, optimized geometry, DFT PBE; values from VASP
! Symmetry: No. 166
! ΔH_f (0 K), eV per atom: -0.68
&SYSTEM
  ibrav = 0, nat = 4, ntyp = 3
/
ATOMIC_SPECIES
Ce 140.12 Ce.upf
Ho 164.93 Ho.upf
Pd 106.42 Pd.upf
CELL_PARAMETERS angstrom
2.0426 1.1793 6.7548
-2.0426 1.1793 6.7548
0.0000 -2.3586 6.7548
ATOMIC_POSITIONS crystal
Ce 0.0000 0.0000 0.0000
Ho 0.5000 0.5000 0.5000
Pd 0.2491 0.2491 0.2491
Pd 0.7509 0.7509 0.7509


Entry 7:
! ZrAl3Cu2, optimized geometry, DFT PBE; values from VASP
! Symmetry: No. 65
! ΔH_f (0 K), eV per atom: -0.28
&SYSTEM
  ibrav = 0, nat = 6, ntyp = 3
/
ATOMIC_SPECIES
Zr 91.22 Zr.upf
Al 26.98 Al.upf
Cu 63.55 Cu.upf
CELL_PARAMETERS angstrom
1.9942 -5.8913 0.0000
1.9942 5.8913 0.0000
0.0000 0.0000 3.9752
ATOMIC_POSITIONS crystal
Zr 0.0000 0.0000 0.0000
Al 0.3221 0.6779 0.0000
Al 0.5000 0.5000 0.5000
Al 0.6779 0.3221 0.0000
Cu 0.1728 0.8272 0.5000
Cu 0.8272 0.1728 0.5000


Entry 8:
! PuP6Pd12, optimized geometry, DFT PBE; values from VASP
! Symmetry: No. 166
! ΔH_f (0 K), eV per atom: -0.43
&SYSTEM
  ibrav = 0, nat = 19, ntyp = 3
/
ATOMIC_SPECIES
Pu 244.00 Pu.upf
P 30.97 P.upf
Pd 106.42 Pd.upf
CELL_PARAMETERS angstrom
5.4873 3.1681 2.9749
-5.4873 3.1681 2.9749
0.0000 -6.3362 2.9749
ATOMIC_POSITIONS crystal
Pu 0.0000 0.0000 0.0000
P 0.2352 0.2352 0.6735
P 0.2352 0.6735 0.2352
P 0.3265 0.7648 0.7648
P 0.6735 0.2352 0.2352
P 0.7648 0.3265 0.7648
P 0.7648 0.7648 0.3265
Pd 0.1270 0.5000 0.8730
Pd 0.1270 0.8730 0.5000
Pd 0.1801 0.4497 0.4497
Pd 0.4497 0.1801 0.4497
Pd 0.4497 0.4497 0.1801
Pd 0.5000 0.1270 0.8730
Pd 0.5000 0.8730 0.1270
Pd 0.5503 0.5503 0.8199
Pd 0.5503 0.8199 0.5503
Pd 0.8199 0.5503 0.5503
Pd 0.8730 0.1270 0.5000
Pd 0.8730 0.5000 0.1270


Entry 9:
! PmNdPb, optimized geometry, DFT PBE; values from VASP
! Symmetry: No. 107
! ΔH_f (0 K), eV per atom: -0.34
! Energy above the most stable polymorph in this dataset, eV per atom: 0.1140
&SYSTEM
  ibrav = 0, nat = 3, ntyp = 3
/
ATOMIC_SPECIES
Pm 145.00 Pm.upf
Nd 144.24 Nd.upf
Pb 207.20 Pb.upf
CELL_PARAMETERS angstrom
-2.1214 2.1214 5.0734
2.1214 -2.1214 5.0734
2.1214 2.1214 -5.0734
ATOMIC_POSITIONS crystal
Pm 0.0000 0.0000 0.0000
Nd 0.3134 0.3134 0.0000
Pb 0.6555 0.6555 0.0000


Entry 10:
! TaCdCu2, optimized geometry, DFT PBE; values from VASP
! Symmetry: No. 160
! ΔH_f (0 K), eV per atom: 0.24
&SYSTEM
  ibrav = 0, nat = 4, ntyp = 3
/
ATOMIC_SPECIES
Ta 180.95 Ta.upf
Cd 112.41 Cd.upf
Cu 63.55 Cu.upf
CELL_PARAMETERS angstrom
1.4214 0.8206 9.1860
-1.4214 0.8206 9.1860
0.0000 -1.6412 9.1860
ATOMIC_POSITIONS crystal
Ta 0.0000 0.0000 0.0000
Cd 0.7646 0.7646 0.7646
Cu 0.2525 0.2525 0.2525
Cu 0.5147 0.5147 0.5147


Entry 11:
! Pu2MnCo3H12, optimized geometry, DFT PBE; values from VASP
! Symmetry: No. 166
&SYSTEM
  ibrav = 0, nat = 18, ntyp = 4
/
ATOMIC_SPECIES
Pu 244.00 Pu.upf
Mn 54.94 Mn.upf
Co 58.93 Co.upf
H 1.01 H.upf
CELL_PARAMETERS angstrom
2.8499 1.6454 4.7082
-2.8499 1.6454 4.7082
0.0000 -3.2908 4.7082
ATOMIC_POSITIONS crystal
Pu 0.1197 0.1197 0.1197
Pu 0.8803 0.8803 0.8803
Mn 0.5000 0.5000 0.5000
Co 0.0000 0.5000 0.5000
Co 0.5000 0.0000 0.5000
Co 0.5000 0.5000 0.0000
H 0.1414 0.6019 0.6019
H 0.1658 0.1658 0.6306
H 0.1658 0.6306 0.1658
H 0.3694 0.8342 0.8342
H 0.3981 0.3981 0.8586
H 0.3981 0.8586 0.3981
H 0.6019 0.1414 0.6019
H 0.6019 0.6019 0.1414
H 0.6306 0.1658 0.1658
H 0.8342 0.3694 0.8342
H 0.8342 0.8342 0.3694
H 0.8586 0.3981 0.3981


Entry 12:
! HgAs2Ru, optimized geometry, DFT PBE; values from VASP
! Symmetry: No. 6
! ΔH_f (0 K), eV per atom: 0.25
&SYSTEM
  ibrav = 0, nat = 4, ntyp = 3
/
ATOMIC_SPECIES
Hg 200.59 Hg.upf
As 74.92 As.upf
Ru 101.07 Ru.upf
CELL_PARAMETERS angstrom
3.9213 0.0000 0.0000
0.0000 4.0068 0.0000
-1.4898 0.0000 5.2198
ATOMIC_POSITIONS crystal
Hg 0.0000 0.0000 0.0000
As 0.1945 0.5000 0.5217
As 0.6219 0.0000 0.4913
Ru 0.6027 0.5000 0.2232


Entry 13:
! Al2In2I, optimized geometry, DFT PBE; values from VASP
! Symmetry: No. 139
! Uncorrected formation energy, eV per atom: 0.1709
! Energy above the most stable polymorph in this dataset, eV per atom: 0.0451
&SYSTEM
  ibrav = 0, nat = 5, ntyp = 3
/
ATOMIC_SPECIES
Al 26.98 Al.upf
In 114.82 In.upf
I 126.90 I.upf
CELL_PARAMETERS angstrom
-2.2978 2.2978 6.3779
2.2978 -2.2978 6.3779
2.2978 2.2978 -6.3779
ATOMIC_POSITIONS crystal
Al 0.1021 0.1021 0.0000
Al 0.8979 0.8979 0.0000
In 0.2500 0.7500 0.5000
In 0.7500 0.2500 0.5000
I 0.5000 0.5000 0.0000


Entry 14:
! K6OsF12, optimized geometry, DFT PBE; values from VASP
! Symmetry: No. 148
! Uncorrected formation energy, eV per atom: -2.3361
&SYSTEM
  ibrav = 0, nat = 19, ntyp = 3
/
ATOMIC_SPECIES
K 39.10 K.upf
Os 190.23 Os.upf
F 19.00 F.upf
CELL_PARAMETERS angstrom
5.7689 3.3307 3.6125
-5.7689 3.3307 3.6125
0.0000 -6.6614 3.6125
ATOMIC_POSITIONS crystal
K 0.0984 0.6537 0.8311
K 0.1689 0.9016 0.3463
K 0.3463 0.1689 0.9016
K 0.6537 0.8311 0.0984
K 0.8311 0.0984 0.6537
K 0.9016 0.3463 0.1689
Os 0.5000 0.5000 0.5000
F 0.0767 0.3323 0.8986
F 0.1014 0.9233 0.6677
F 0.2502 0.5189 0.4286
F 0.3323 0.8986 0.0767
F 0.4286 0.2502 0.5189
F 0.4811 0.5714 0.7498
F 0.5189 0.4286 0.2502
F 0.5714 0.7498 0.4811
F 0.6677 0.1014 0.9233
F 0.7498 0.4811 0.5714
F 0.8986 0.0767 0.3323
F 0.9233 0.6677 0.1014


Entry 15:
! Ca2LaTaO6, optimized geometry, DFT PBE; values from VASP
! Symmetry: No. 7
! Uncorrected formation energy, eV per atom: -3.1765
&SYSTEM
  ibrav = 0, nat = 20, ntyp = 4
/
ATOMIC_SPECIES
Ca 40.08 Ca.upf
La 138.91 La.upf
Ta 180.95 Ta.upf
O 16.00 O.upf
CELL_PARAMETERS angstrom
5.6960 0.0000 0.0000
0.0000 5.9475 0.0000
-5.6750 0.0000 8.2460
ATOMIC_POSITIONS crystal
Ca 0.0000 0.1978 0.0000
Ca 0.0000 0.8022 0.5000
Ca 0.7716 0.2468 0.2552
Ca 0.7716 0.7532 0.7552
La 0.5414 0.3038 0.5113
La 0.5414 0.6962 0.0113
Ta 0.2734 0.2475 0.7573
Ta 0.2734 0.7525 0.2573
O 0.0269 0.4724 0.1846
O 0.0269 0.5276 0.6846
O 0.1591 0.1924 0.5273
O 0.1591 0.8076 0.0273
O 0.3827 0.3014 0.9841
O 0.3827 0.6986 0.4841
O 0.5166 0.0324 0.3270
O 0.5166 0.9676 0.8270
O 0.6099 0.4281 0.8071
O 0.6099 0.5719 0.3071
O 0.9306 0.0698 0.7019
O 0.9306 0.9302 0.2019


Entry 16:
! UPa3Rh, optimized geometry, DFT PBE; values from VASP
! Symmetry: No. 148
! ΔH_f (0 K), eV per atom: 0.01
&SYSTEM
  ibrav = 0, nat = 10, ntyp = 3
/
ATOMIC_SPECIES
U 238.03 U.upf
Pa 231.04 Pa.upf
Rh 102.91 Rh.upf
CELL_PARAMETERS angstrom
3.3219 1.9179 6.3980
-3.3219 1.9179 6.3980
0.0000 -3.8358 6.3980
ATOMIC_POSITIONS crystal
U 0.1672 0.1672 0.1672
U 0.8328 0.8328 0.8328
Pa 0.1118 0.3890 0.7612
Pa 0.2388 0.8882 0.6110
Pa 0.3890 0.7612 0.1118
Pa 0.6110 0.2388 0.8882
Pa 0.7612 0.1118 0.3890
Pa 0.8882 0.6110 0.2388
Rh 0.3322 0.3322 0.3322
Rh 0.6678 0.6678 0.6678


Entry 17:
! BaMgGa, optimized geometry, DFT PBE; values from VASP
! Symmetry: No. 187
! ΔH_f (0 K), eV per atom: -0.21
&SYSTEM
  ibrav = 0, nat = 3, ntyp = 3
/
ATOMIC_SPECIES
Ba 137.33 Ba.upf
Mg 24.30 Mg.upf
Ga 69.72 Ga.upf
CELL_PARAMETERS angstrom
5.0983 0.0000 0.0000
-2.5491 4.4152 0.0000
0.0000 0.0000 4.2607
ATOMIC_POSITIONS crystal
Ba 0.0000 0.0000 0.0000
Mg 0.6667 0.3333 0.5000
Ga 0.3333 0.6667 0.5000


Entry 18:
! CaSc2Os, optimized geometry, DFT PBE; values from VASP
! Symmetry: No. 141
! ΔH_f (0 K), eV per atom: 0.78
! Energy above the most stable polymorph in this dataset, eV per atom: 1.0011
&SYSTEM
  ibrav = 0, nat = 8, ntyp = 3
/
ATOMIC_SPECIES
Ca 40.08 Ca.upf
Sc 44.96 Sc.upf
Os 190.23 Os.upf
CELL_PARAMETERS angstrom
-3.0564 3.0564 7.6814
3.0564 -3.0564 7.6814
3.0564 3.0564 -7.6814
ATOMIC_POSITIONS crystal
Ca 0.3750 0.6250 0.7500
Ca 0.6250 0.3750 0.2500
Sc 0.0000 0.0000 0.0000
Sc 0.0000 0.0000 0.5000
Sc 0.0000 0.5000 0.0000
Sc 0.5000 0.0000 0.5000
Os 0.1250 0.8750 0.2500
Os 0.8750 0.1250 0.7500


Entry 19:
! Pr2Ga6Ir, optimized geometry, DFT PBE; values from VASP
! Symmetry: No. 65
! ΔH_f (0 K), eV per atom: -0.51
! Energy above the most stable polymorph in this dataset, eV per atom: 0.1374
&SYSTEM
  ibrav = 0, nat = 9, ntyp = 3
/
ATOMIC_SPECIES
Pr 140.91 Pr.upf
Ga 69.72 Ga.upf
Ir 192.22 Ir.upf
CELL_PARAMETERS angstrom
3.5030 -5.8395 0.0000
3.5030 5.8395 0.0000
0.0000 0.0000 4.4188
ATOMIC_POSITIONS crystal
Pr 0.2165 0.7835 0.0000
Pr 0.7835 0.2165 0.0000
Ga 0.1663 0.4332 0.5000
Ga 0.2546 0.2546 0.0000
Ga 0.4332 0.1663 0.5000
Ga 0.5668 0.8337 0.5000
Ga 0.7454 0.7454 0.0000
Ga 0.8337 0.5668 0.5000
Ir 0.0000 0.0000 0.5000


Entry 20:
! LiNdTh, optimized geometry, DFT PBE; values from VASP
! Symmetry: No. 129
! ΔH_f (0 K), eV per atom: 0.04
! Energy above the most stable polymorph in this dataset, eV per atom: 0.0000
&SYSTEM
  ibrav = 0, nat = 6, ntyp = 3
/
ATOMIC_SPECIES
Li 6.94 Li.upf
Nd 144.24 Nd.upf
Th 232.04 Th.upf
CELL_PARAMETERS angstrom
3.6337 0.0000 0.0000
0.0000 3.6337 0.0000
0.0000 0.0000 13.2121
ATOMIC_POSITIONS crystal
Li 0.2500 0.2500 0.0503
Li 0.7500 0.7500 0.9497
Nd 0.2500 0.2500 0.7783
Nd 0.7500 0.7500 0.2217
Th 0.2500 0.2500 0.4103
Th 0.7500 0.7500 0.5897


Per-record total magnetization, Bohr magnetons per cell: 0.00 12.01 0.00 0.00 0.00 0.48 0.00 6.12 0.00 0.00 12.86 0.00 0.00 4.11 0.00 0.00 0.00 0.00 0.00 0.00
Per-record VASP energy, Ry/atom: -0.1924 -0.2789 -0.4273 -0.4019 -0.4380 -0.4339 -0.3631 -0.4535 -0.3493 -0.3677 -0.4157 -0.3282 -0.2008 -0.3275 -0.6049 -0.6923 -0.1761 -0.4187 -0.3360 -0.3424